# 1
DFT (GGA-PBE) results for a geometry-optimized Zn2SnGe2 structure.

POSCAR file:
```
Zn2SnGe2
1.0
8.104 0.000 0.000
0.000 8.104 0.000
0.000 0.000 3.005
Zn Ge Sn
4 4 2
Direct
0.626 0.874 0.500
0.374 0.126 0.500
0.126 0.626 0.500
0.874 0.374 0.500
0.831 0.669 0.000
0.169 0.331 0.000
0.331 0.831 0.000
0.669 0.169 0.000
0.500 0.500 0.000
0.000 0.000 0.000
```

Calculated values
As for the space-group type: P4/mbm (127). Its energy above the most stable polymorph in this dataset is 0.154 eV per formula unit. For the formation energy, the calculation gives 185 meV/atom. As for the crystal system: tetragonal.

---

# 2
DFT (GGA-PBE) results for a geometry-optimized SrMg2Si structure.

POSCAR file:
```
SrMg2Si
1.0
4.578 0.000 0.000
0.000 4.348 0.045
0.000 1.654 5.650
Mg Si Sr
2 1 1
Direct
0.000 0.118 0.046
0.000 0.382 0.454
0.500 0.250 0.250
0.500 0.750 0.750
```

Calculated values
As for the space-group type: P2/m (10). The value obtained for the final energy is -2.59 eV/atom. As for the crystal system: monoclinic.

---

# 3
DFT (GGA-PBE) results for a geometry-optimized Fe2PbBr structure.

POSCAR file:
```
Fe2PbBr
1.0
8.243 0.011 0.007
7.564 3.276 0.007
7.564 1.573 2.873
Br Fe Pb
1 2 1
Direct
0.250 0.250 0.250
0.995 0.995 0.995
0.505 0.505 0.505
0.750 0.750 0.750
```

Calculated values
As for the space-group type: R-3m (166). Its energy above the most stable polymorph in this dataset is 1.627 eV per formula unit. As for the crystal system: trigonal.

---

Results for Fermi-level density of states: 2.24, 1.76, 5.64 (in states/eV/f.u., following the order of the records).